Entry 1:
! BiOsW2 | OQMD | PBE-GGA | relaxed; values from VASP
! DFT total energy in eV/f.u.: -37.34
! SG: F-43m
! Density in Mg/m³: 18.03
&SYSTEM
  ibrav = 0, nat = 4, ntyp = 3
/
ATOMIC_SPECIES
Os 190.23 Os.upf
W 183.84 W.upf
Bi 208.98 Bi.upf
CELL_PARAMETERS angstrom
-0.423 0.812 4.549
1.573 3.976 1.803
-2.994 3.204 1.516
ATOMIC_POSITIONS crystal
Os 0.250 0.250 0.250
W 0.750 0.750 0.750
W 0.000 0.000 0.000
Bi 0.500 0.500 0.500


Entry 2:
! YBiOs | OQMD | PBE-GGA | relaxed; values from VASP
! DFT total energy in eV/f.u.: -21.72
! ΔE to the lowest computed polymorph in eV per atom: 0.000
! SG: F-43m
! Density in Mg/m³: 10.81
&SYSTEM
  ibrav = 0, nat = 3, ntyp = 3
/
ATOMIC_SPECIES
Y 88.91 Y.upf
Os 190.23 Os.upf
Bi 208.98 Bi.upf
CELL_PARAMETERS angstrom
3.584 -2.228 2.144
2.546 2.243 3.300
-0.379 -1.264 4.546
ATOMIC_POSITIONS crystal
Y 0.750 0.750 0.750
Os 0.000 0.000 0.000
Bi 0.250 0.250 0.250


Entry 3:
! YBiOs | OQMD | PBE-GGA | relaxed; values from VASP
! DFT total energy in eV/f.u.: -19.53
! ΔE to the lowest computed polymorph in eV per atom: 0.729
! SG: F-43m
! Density in Mg/m³: 10.13
&SYSTEM
  ibrav = 0, nat = 3, ntyp = 3
/
ATOMIC_SPECIES
Y 88.91 Y.upf
Bi 208.98 Bi.upf
Os 190.23 Os.upf
CELL_PARAMETERS angstrom
-2.128 -3.776 2.147
-4.822 -0.380 0.002
-2.159 -3.403 -2.676
ATOMIC_POSITIONS crystal
Y 0.250 0.250 0.250
Bi 0.500 0.500 0.500
Os 0.000 0.000 0.000


Entry 4:
! Y2BiOs | OQMD | PBE-GGA | relaxed; values from VASP
! DFT total energy in eV/f.u.: -27.92
! SG: F-43m
! Density in Mg/m³: 10.48
&SYSTEM
  ibrav = 0, nat = 4, ntyp = 3
/
ATOMIC_SPECIES
Y 88.91 Y.upf
Os 190.23 Os.upf
Bi 208.98 Bi.upf
CELL_PARAMETERS angstrom
0.000 3.575 3.575
3.575 0.000 3.575
3.575 3.575 0.000
ATOMIC_POSITIONS crystal
Y 0.000 0.000 0.000
Y 0.750 0.750 0.750
Os 0.250 0.250 0.250
Bi 0.500 0.500 0.500


Calculated volume: 17.7; 25.0; 26.7; 22.8 (A^3/atom)